# 1
Y2TlPb | PBE | optimized geometry

Summary:
Density: 8.402 g/cm³
Energy relative to the elements: -0.45 eV per atom

Structure (POSCAR):
```
Y2TlPb
1.0
-2.370 -3.673 0.140
4.718 -3.142 -2.591
0.540 0.002 9.186
Y Tl Pb
4 2 2
direct
0.250 0.765 0.066
0.750 0.235 0.934
0.750 0.234 0.432
0.250 0.766 0.568
0.250 0.304 0.700
0.750 0.696 0.300
0.250 0.314 0.203
0.750 0.686 0.797
```



# 2
ZrAlSbSe2 | PBE | optimized geometry

Summary:
Density: 4.318 g/cm³
Uncorrected formation energy: -0.58 eV/f.u.

Structure (POSCAR):
```
ZrAlSbSe2
1.0
-3.900 -0.077 3.395
-3.710 -0.800 -4.281
0.532 -5.120 0.496
Al Se Zr Sb
1 2 1 1
direct
0.500 0.500 0.500
0.000 0.000 0.500
0.500 0.000 0.000
0.000 0.000 0.000
0.000 0.500 0.000
```



# 3
Sr2ZrSnO6 | PBE | optimized geometry

Summary:
Density: 5.688 g/cm³
Uncorrected formation energy: -27.47 eV/f.u.
Energy relative to the lowest polymorph listed for this composition: 0.0 meV/atom

Structure (POSCAR):
```
Sr2ZrSnO6
1.0
-5.452 -0.115 -2.024
-1.790 -2.542 4.966
-1.376 7.427 3.306
Zr O Sr Sn
2 12 4 2
direct
0.000 0.500 0.500
0.500 0.000 0.000
0.286 0.717 0.463
0.717 0.285 0.962
0.283 0.715 0.038
0.714 0.283 0.537
0.929 0.517 0.249
0.214 0.217 0.037
0.429 0.983 0.749
0.783 0.785 0.538
0.217 0.215 0.462
0.571 0.017 0.251
0.071 0.483 0.751
0.786 0.783 0.963
0.007 0.970 0.250
0.993 0.030 0.750
0.507 0.530 0.750
0.493 0.470 0.250
0.000 0.500 0.000
0.500 0.000 0.500
```



# 4
TbGe2S4 | PBE | optimized geometry

Summary:
Density: 4.002 g/cm³
Uncorrected formation energy: -3.63 eV/f.u.

Structure (POSCAR):
```
TbGe2S4
1.0
6.170 0.171 0.000
-2.821 5.490 0.000
-1.674 -2.830 5.223
Tb S Ge
1 4 2
direct
0.500 0.500 0.000
0.319 0.183 0.501
0.681 0.817 0.499
0.183 0.681 0.864
0.817 0.319 0.136
0.250 0.750 0.500
0.750 0.250 0.500
```



- What is the density in the first record?
  8.402 g/cm³